# 1
First-principles (PBE-GGA) data for crystalline Ta6NbMo2 at its relaxed geometry, as listed in the Alexandria database.

The structure in POSCAR format:
```
Ta6NbMo2
1.0
5.1900 -1.6274 0.0000
5.1900 1.6274 0.0000
-3.0628 0.0000 9.4112
Ta Nb Mo
6 1 2
direct
0.0092 0.0092 0.3324
0.3285 0.3285 0.1154
0.3303 0.3303 0.4355
0.6697 0.6697 0.5645
0.6715 0.6715 0.8846
0.9908 0.9908 0.6676
0.0000 0.0000 0.0000
0.3325 0.3325 0.7789
0.6675 0.6675 0.2211
```

Its total magnetization is 0.00 μB/f.u. The calculated total energy comes out at -11.521 eV per atom.


# 2
First-principles (PBE-GGA) data for crystalline CuHg2HRh at its relaxed geometry, as listed in the Alexandria database.

The structure in POSCAR format:
```
CuHg2HRh
1.0
4.6640 0.0000 0.0000
0.0000 4.6640 0.0000
0.0000 0.0000 3.4018
Cu Hg H Rh
1 2 1 1
direct
0.0000 0.0000 0.0000
0.0000 0.5000 0.5000
0.5000 0.0000 0.5000
0.5000 0.5000 0.5000
0.5000 0.5000 0.0000
```

Its total magnetization is 0.00 μB/f.u. The calculated total energy comes out at -2.846 eV per atom.